(1)
# TmThP2Rh5 PBE relaxed
# Total magnetization (μB per formula unit): 0.0
# Crystal system: tetragonal
# Formation energy (eV/atom): -0.806
data_TmThP2Rh5
_chemical_formula_sum 'Tm1 Th1 P2 Rh5'
_symmetry_space_group_name_H-M 'P 4/m m m'
_symmetry_Int_Tables_number 123
_symmetry_space_group_name_Hall '-P 4 2'
_cell_length_a 4.077
_cell_length_b 4.077
_cell_length_c 10.502
_cell_angle_alpha 90.00
_cell_angle_beta 90.00
_cell_angle_gamma 90.00
loop_
_atom_site_label
_atom_site_type_symbol
_atom_site_fract_x
_atom_site_fract_y
_atom_site_fract_z
Tm1 Tm 0.000 0.000 0.000
Th1 Th 0.000 0.000 0.500
P1 P 0.500 0.500 0.283
Rh1 Rh 0.000 0.500 0.194
Rh2 Rh 0.500 0.500 0.500

(2)
# Th2UP3Rh12 PBE relaxed
# Total magnetization (μB per formula unit): 0.0
# Crystal system: trigonal
# Formation energy (eV/atom): -0.462
data_Th2UP3Rh12
_chemical_formula_sum 'Th6 U3 P9 Rh36'
_symmetry_space_group_name_H-M 'R -3 m'
_symmetry_Int_Tables_number 166
_symmetry_space_group_name_Hall '-R 3 2"'
_cell_length_a 8.2253
_cell_length_b 8.2253
_cell_length_c 16.8952
_cell_angle_alpha 90.00
_cell_angle_beta 90.00
_cell_angle_gamma 120.00
loop_
_atom_site_label
_atom_site_type_symbol
_atom_site_fract_x
_atom_site_fract_y
_atom_site_fract_z
Th1 Th 0.0000 0.0000 0.1032
U1 U 0.0000 0.0000 0.5000
P1 P 0.0000 0.5000 0.0000
Rh1 Rh 0.0151 0.5075 0.8657
Rh2 Rh 0.0431 0.5216 0.3613

(3)
# YTh2P3Rh12 PBE relaxed
# Total magnetization (μB per formula unit): 0.0
# Crystal system: trigonal
# Formation energy (eV/atom): -0.457
data_YTh2P3Rh12
_chemical_formula_sum 'Y3 Th6 P9 Rh36'
_symmetry_space_group_name_H-M 'R -3 m'
_symmetry_Int_Tables_number 166
_symmetry_space_group_name_Hall '-R 3 2"'
_cell_length_a 8.9817
_cell_length_b 8.9817
_cell_length_c 13.1834
_cell_angle_alpha 90.00
_cell_angle_beta 90.00
_cell_angle_gamma 120.00
loop_
_atom_site_label
_atom_site_type_symbol
_atom_site_fract_x
_atom_site_fract_y
_atom_site_fract_z
Y1 Y 0.0000 0.0000 0.0000
Th1 Th 0.0000 0.0000 0.3727
P1 P 0.0000 0.5000 0.5000
Rh1 Rh 0.0147 0.5073 0.3285
Rh2 Rh 0.0317 0.5158 0.8766

(4)
# ThZnP2Rh5 PBE relaxed
# Total magnetization (μB per formula unit): 0.0
# Crystal system: tetragonal
# Formation energy (eV/atom): -0.775
data_ThZnP2Rh5
_chemical_formula_sum 'Th1 Zn1 P2 Rh5'
_symmetry_space_group_name_H-M 'P 4/m m m'
_symmetry_Int_Tables_number 123
_symmetry_space_group_name_Hall '-P 4 2'
_cell_length_a 4.105
_cell_length_b 4.105
_cell_length_c 8.352
_cell_angle_alpha 90.00
_cell_angle_beta 90.00
_cell_angle_gamma 90.00
loop_
_atom_site_label
_atom_site_type_symbol
_atom_site_fract_x
_atom_site_fract_y
_atom_site_fract_z
Th1 Th 0.000 0.000 0.000
Zn1 Zn 0.000 0.000 0.500
P1 P 0.500 0.500 0.147
Rh1 Rh 0.000 0.500 0.278
Rh2 Rh 0.500 0.500 0.500

(5)
# Th3ZnP2Rh9 PBE relaxed
# Total magnetization (μB per formula unit): 0.0
# Crystal system: trigonal
# Formation energy (eV/atom): -0.662
data_Th3ZnP2Rh9
_chemical_formula_sum 'Th3 Zn1 P2 Rh9'
_symmetry_space_group_name_H-M 'P -3 m 1'
_symmetry_Int_Tables_number 164
_symmetry_space_group_name_Hall '-P 3 2"'
_cell_length_a 6.9171
_cell_length_b 6.9171
_cell_length_c 6.7327
_cell_angle_alpha 90.00
_cell_angle_beta 90.00
_cell_angle_gamma 120.00
loop_
_atom_site_label
_atom_site_type_symbol
_atom_site_fract_x
_atom_site_fract_y
_atom_site_fract_z
Th1 Th 0.0000 0.0000 0.0000
Th2 Th 0.3333 0.6667 0.6705
Zn1 Zn 0.0000 0.0000 0.5000
P1 P 0.3333 0.6667 0.1484
Rh1 Rh 0.0000 0.5000 0.0000
Rh2 Rh 0.1817 0.3633 0.3406

(6)
# Th2ZnP3Rh4 PBE relaxed
# Total magnetization (μB per formula unit): 0.0
# Crystal system: tetragonal
# Formation energy (eV/atom): -1.030
data_Th2ZnP3Rh4
_chemical_formula_sum 'Th2 Zn1 P3 Rh4'
_symmetry_space_group_name_H-M 'P -4 m 2'
_symmetry_Int_Tables_number 115
_cell_length_a 4.111
_cell_length_b 4.111
_cell_length_c 10.087
_cell_angle_alpha 90.00
_cell_angle_beta 90.00
_cell_angle_gamma 90.00
loop_
_symmetry_equiv_pos_as_xyz
'x,y,z'
'y,-x,-z'
'-x,-y,z'
'-y,x,-z'
'-x,y,z'
'-y,-x,-z'
'x,-y,z'
'y,x,-z'
loop_
_atom_site_label
_atom_site_type_symbol
_atom_site_fract_x
_atom_site_fract_y
_atom_site_fract_z
Th1 Th 0.000 0.500 0.249
Zn1 Zn 0.000 0.000 0.500
P1 P 0.000 0.500 0.865
P2 P 0.500 0.500 0.500
Rh1 Rh 0.000 0.000 0.000
Rh2 Rh 0.000 0.500 0.635
Rh3 Rh 0.500 0.500 0.000

(7)
# Th2ZnP3Rh12 PBE relaxed
# Total magnetization (μB per formula unit): 0.0
# Crystal system: trigonal
# Formation energy (eV/atom): -0.376
data_Th2ZnP3Rh12
_chemical_formula_sum 'Th6 Zn3 P9 Rh36'
_symmetry_space_group_name_H-M 'R -3 m'
_symmetry_Int_Tables_number 166
_symmetry_space_group_name_Hall '-R 3 2"'
_cell_length_a 8.4783
_cell_length_b 8.4783
_cell_length_c 15.0313
_cell_angle_alpha 90.00
_cell_angle_beta 90.00
_cell_angle_gamma 120.00
loop_
_atom_site_label
_atom_site_type_symbol
_atom_site_fract_x
_atom_site_fract_y
_atom_site_fract_z
Th1 Th 0.0000 0.0000 0.1118
Zn1 Zn 0.0000 0.0000 0.5000
P1 P 0.0000 0.5000 0.0000
Rh1 Rh 0.0091 0.5045 0.8528
Rh2 Rh 0.0457 0.5228 0.3604

(8)
# ThZrP2Rh5 PBE relaxed
# Total magnetization (μB per formula unit): 0.0
# Crystal system: tetragonal
# Formation energy (eV/atom): -0.778
data_ThZrP2Rh5
_chemical_formula_sum 'Th1 Zr1 P2 Rh5'
_symmetry_space_group_name_H-M 'P 4/m m m'
_symmetry_Int_Tables_number 123
_symmetry_space_group_name_Hall '-P 4 2'
_cell_length_a 4.067
_cell_length_b 4.067
_cell_length_c 10.286
_cell_angle_alpha 90.00
_cell_angle_beta 90.00
_cell_angle_gamma 90.00
loop_
_atom_site_label
_atom_site_type_symbol
_atom_site_fract_x
_atom_site_fract_y
_atom_site_fract_z
Th1 Th 0.000 0.000 0.000
Zr1 Zr 0.000 0.000 0.500
P1 P 0.500 0.500 0.222
Rh1 Rh 0.000 0.500 0.319
Rh2 Rh 0.500 0.500 0.000

(9)
# TiPRh PBE relaxed
# Total magnetization (μB per formula unit): 0.0
# Crystal system: monoclinic
# Formation energy (eV/atom): -0.847
data_TiPRh
_chemical_formula_sum 'Ti4 P4 Rh4'
_symmetry_space_group_name_H-M 'C 1 m 1'
_symmetry_Int_Tables_number 8
_cell_length_a 13.149
_cell_length_b 3.812
_cell_length_c 3.561
_cell_angle_alpha 90.00
_cell_angle_beta 104.94
_cell_angle_gamma 90.00
loop_
_symmetry_equiv_pos_as_xyz
'x,y,z'
'x,-y,z'
'x+1/2,y+1/2,z'
'x+1/2,-y+1/2,z'
loop_
_atom_site_label
_atom_site_type_symbol
_atom_site_fract_x
_atom_site_fract_y
_atom_site_fract_z
Ti1 Ti 0.000 0.000 0.000
Ti2 Ti 0.178 0.000 0.672
P1 P 0.140 0.500 0.144
P2 P 0.363 0.000 0.879
Rh1 Rh 0.326 0.500 0.304
Rh2 Rh 0.496 0.000 0.510

(10)
# TiP3Rh PBE relaxed
# Total magnetization (μB per formula unit): 0.0
# Crystal system: cubic
# Formation energy (eV/atom): 0.582
data_TiP3Rh
_chemical_formula_sum 'Ti1 P3 Rh1'
_symmetry_space_group_name_H-M 'P m -3 m'
_symmetry_Int_Tables_number 221
_symmetry_space_group_name_Hall '-P 4 2 3'
_cell_length_a 4.562
_cell_length_b 4.562
_cell_length_c 4.562
_cell_angle_alpha 90.00
_cell_angle_beta 90.00
_cell_angle_gamma 90.00
loop_
_atom_site_label
_atom_site_type_symbol
_atom_site_fract_x
_atom_site_fract_y
_atom_site_fract_z
Ti1 Ti 0.000 0.000 0.000
P1 P 0.000 0.500 0.500
Rh1 Rh 0.500 0.500 0.500

(11)
# Ti2PRh2 PBE relaxed
# Total magnetization (μB per formula unit): 0.0
# Crystal system: tetragonal
# Formation energy (eV/atom): -0.518
data_Ti2PRh2
_chemical_formula_sum 'Ti4 P2 Rh4'
_symmetry_space_group_name_H-M 'P 4/m b m'
_symmetry_Int_Tables_number 127
_symmetry_space_group_name_Hall '-P 4 2ab'
_cell_length_a 7.150
_cell_length_b 7.150
_cell_length_c 3.004
_cell_angle_alpha 90.00
_cell_angle_beta 90.00
_cell_angle_gamma 90.00
loop_
_atom_site_label
_atom_site_type_symbol
_atom_site_fract_x
_atom_site_fract_y
_atom_site_fract_z
Ti1 Ti 0.166 0.334 0.000
P1 P 0.000 0.000 0.500
Rh1 Rh 0.134 0.634 0.500

(12)
# TiP3Rh PBE relaxed
# Total magnetization (μB per formula unit): 0.0
# Crystal system: cubic
# Formation energy (eV/atom): 0.597
data_TiP3Rh
_chemical_formula_sum 'Ti1 P3 Rh1'
_symmetry_space_group_name_H-M 'P m -3 m'
_symmetry_Int_Tables_number 221
_symmetry_space_group_name_Hall '-P 4 2 3'
_cell_length_a 4.591
_cell_length_b 4.591
_cell_length_c 4.591
_cell_angle_alpha 90.00
_cell_angle_beta 90.00
_cell_angle_gamma 90.00
loop_
_atom_site_label
_atom_site_type_symbol
_atom_site_fract_x
_atom_site_fract_y
_atom_site_fract_z
Ti1 Ti 0.000 0.000 0.000
P1 P 0.000 0.000 0.500
Rh1 Rh 0.500 0.500 0.500

(13)
# Ti3PRh PBE relaxed
# Total magnetization (μB per formula unit): 0.0
# Crystal system: cubic
# Formation energy (eV/atom): 0.347
data_Ti3PRh
_chemical_formula_sum 'Ti3 P1 Rh1'
_symmetry_space_group_name_H-M 'P m -3 m'
_symmetry_Int_Tables_number 221
_symmetry_space_group_name_Hall '-P 4 2 3'
_cell_length_a 4.656
_cell_length_b 4.656
_cell_length_c 4.656
_cell_angle_alpha 90.00
_cell_angle_beta 90.00
_cell_angle_gamma 90.00
loop_
_atom_site_label
_atom_site_type_symbol
_atom_site_fract_x
_atom_site_fract_y
_atom_site_fract_z
Ti1 Ti 0.000 0.000 0.500
P1 P 0.500 0.500 0.500
Rh1 Rh 0.000 0.000 0.000

(14)
# TiPRh PBE relaxed
# Total magnetization (μB per formula unit): 0.0
# Crystal system: orthorhombic
# Formation energy (eV/atom): -0.885
data_TiPRh
_chemical_formula_sum 'Ti4 P4 Rh4'
_symmetry_space_group_name_H-M 'C m c 21'
_symmetry_Int_Tables_number 36
_cell_length_a 4.227
_cell_length_b 8.390
_cell_length_c 4.998
_cell_angle_alpha 90.00
_cell_angle_beta 90.00
_cell_angle_gamma 90.00
loop_
_symmetry_equiv_pos_as_xyz
'x,y,z'
'-x,-y,z+1/2'
'-x,y,z'
'x,-y,z+1/2'
'x+1/2,y+1/2,z'
'-x+1/2,-y+1/2,z+1/2'
'-x+1/2,y+1/2,z'
'x+1/2,-y+1/2,z+1/2'
loop_
_atom_site_label
_atom_site_type_symbol
_atom_site_fract_x
_atom_site_fract_y
_atom_site_fract_z
Ti1 Ti 0.000 0.106 0.000
P1 P 0.000 0.190 0.482
Rh1 Rh 0.000 0.404 0.159

(15)
# TiPRh PBE relaxed
# Total magnetization (μB per formula unit): 0.0
# Crystal system: monoclinic
# Formation energy (eV/atom): -0.874
data_TiPRh
_chemical_formula_sum 'Ti2 P2 Rh2'
_symmetry_space_group_name_H-M 'P 1 m 1'
_symmetry_Int_Tables_number 6
_cell_length_a 3.727
_cell_length_b 3.680
_cell_length_c 6.275
_cell_angle_alpha 90.00
_cell_angle_beta 90.47
_cell_angle_gamma 90.00
loop_
_symmetry_equiv_pos_as_xyz
'x,y,z'
'x,-y,z'
loop_
_atom_site_label
_atom_site_type_symbol
_atom_site_fract_x
_atom_site_fract_y
_atom_site_fract_z
Ti1 Ti 0.000 0.000 0.000
Ti2 Ti 0.005 0.500 0.360
P1 P 0.013 0.000 0.628
P2 P 0.500 0.500 0.084
Rh1 Rh 0.488 0.500 0.713
Rh2 Rh 0.511 0.000 0.359

(16)
# TiPRh PBE relaxed
# Total magnetization (μB per formula unit): 0.0
# Crystal system: orthorhombic
# Formation energy (eV/atom): -0.953
data_TiPRh
_chemical_formula_sum 'Ti4 P4 Rh4'
_symmetry_space_group_name_H-M 'C 2 2 21'
_symmetry_Int_Tables_number 20
_cell_length_a 3.611
_cell_length_b 9.004
_cell_length_c 5.243
_cell_angle_alpha 90.00
_cell_angle_beta 90.00
_cell_angle_gamma 90.00
loop_
_symmetry_equiv_pos_as_xyz
'x,y,z'
'-x,-y,z+1/2'
'x,-y,-z'
'-x,y,-z+1/2'
'x+1/2,y+1/2,z'
'-x+1/2,-y+1/2,z+1/2'
'x+1/2,-y+1/2,-z'
'-x+1/2,y+1/2,-z+1/2'
loop_
_atom_site_label
_atom_site_type_symbol
_atom_site_fract_x
_atom_site_fract_y
_atom_site_fract_z
Ti1 Ti 0.000 0.204 0.250
P1 P 0.000 0.109 0.750
Rh1 Rh 0.030 0.500 0.000

(17)
# Ti3PRh PBE relaxed
# Total magnetization (μB per formula unit): 0.0
# Crystal system: cubic
# Formation energy (eV/atom): -0.173
data_Ti3PRh
_chemical_formula_sum 'Ti3 P1 Rh1'
_symmetry_space_group_name_H-M 'P m -3 m'
_symmetry_Int_Tables_number 221
_symmetry_space_group_name_Hall '-P 4 2 3'
_cell_length_a 4.462
_cell_length_b 4.462
_cell_length_c 4.462
_cell_angle_alpha 90.00
_cell_angle_beta 90.00
_cell_angle_gamma 90.00
loop_
_atom_site_label
_atom_site_type_symbol
_atom_site_fract_x
_atom_site_fract_y
_atom_site_fract_z
Ti1 Ti 0.000 0.000 0.500
P1 P 0.000 0.000 0.000
Rh1 Rh 0.500 0.500 0.500

(18)
# TiPRh PBE relaxed
# Total magnetization (μB per formula unit): 0.0
# Crystal system: triclinic
# Formation energy (eV/atom): -0.858
data_TiPRh
_chemical_formula_sum 'Ti2 P2 Rh2'
_symmetry_space_group_name_H-M 'P 1'
_symmetry_Int_Tables_number 1
_cell_length_a 3.999
_cell_length_b 4.695
_cell_length_c 5.318
_cell_angle_alpha 74.85
_cell_angle_beta 86.60
_cell_angle_gamma 66.20
loop_
_symmetry_equiv_pos_as_xyz
'x,y,z'
loop_
_atom_site_label
_atom_site_type_symbol
_atom_site_fract_x
_atom_site_fract_y
_atom_site_fract_z
Ti1 Ti 0.000 0.000 0.000
Ti2 Ti 0.294 0.368 0.541
P1 P 0.314 0.380 0.038
P2 P 0.974 0.973 0.536
Rh1 Rh 0.543 0.857 0.329
Rh2 Rh 0.703 0.646 0.856

(19)
# TiP2Rh PBE relaxed
# Total magnetization (μB per formula unit): 0.0
# Crystal system: cubic
# Formation energy (eV/atom): -0.525
data_TiP2Rh
_chemical_formula_sum 'Ti4 P8 Rh4'
_symmetry_space_group_name_H-M 'F m -3 m'
_symmetry_Int_Tables_number 225
_symmetry_space_group_name_Hall '-F 4 2 3'
_cell_length_a 6.036
_cell_length_b 6.036
_cell_length_c 6.036
_cell_angle_alpha 90.00
_cell_angle_beta 90.00
_cell_angle_gamma 90.00
loop_
_atom_site_label
_atom_site_type_symbol
_atom_site_fract_x
_atom_site_fract_y
_atom_site_fract_z
Ti1 Ti 0.000 0.000 0.000
P1 P 0.250 0.250 0.250
Rh1 Rh 0.000 0.000 0.500

(20)
# TiPRh PBE relaxed
# Total magnetization (μB per formula unit): 0.0
# Crystal system: monoclinic
# Formation energy (eV/atom): -0.878
data_TiPRh
_chemical_formula_sum 'Ti4 P4 Rh4'
_symmetry_space_group_name_H-M 'C 1 m 1'
_symmetry_Int_Tables_number 8
_cell_length_a 8.329
_cell_length_b 3.479
_cell_length_c 6.065
_cell_angle_alpha 90.00
_cell_angle_beta 99.89
_cell_angle_gamma 90.00
loop_
_symmetry_equiv_pos_as_xyz
'x,y,z'
'x,-y,z'
'x+1/2,y+1/2,z'
'x+1/2,-y+1/2,z'
loop_
_atom_site_label
_atom_site_type_symbol
_atom_site_fract_x
_atom_site_fract_y
_atom_site_fract_z
Ti1 Ti 0.000 0.000 0.000
Ti2 Ti 0.080 0.000 0.531
P1 P 0.142 0.500 0.266
P2 P 0.384 0.000 0.687
Rh1 Rh 0.198 0.500 0.871
Rh2 Rh 0.348 0.000 0.278

(21)
# Ti4PRh PBE relaxed
# Total magnetization (μB per formula unit): 0.0
# Crystal system: monoclinic
# Formation energy (eV/atom): -0.395
data_Ti4PRh
_chemical_formula_sum 'Ti8 P2 Rh2'
_symmetry_space_group_name_H-M 'P 1 21/c 1'
_symmetry_Int_Tables_number 14
_cell_length_a 5.899
_cell_length_b 5.742
_cell_length_c 6.235
_cell_angle_alpha 90.00
_cell_angle_beta 95.95
_cell_angle_gamma 90.00
loop_
_symmetry_equiv_pos_as_xyz
'x,y,z'
'-x,-y,-z'
'-x,y+1/2,-z+1/2'
'x,-y+1/2,z+1/2'
loop_
_atom_site_label
_atom_site_type_symbol
_atom_site_fract_x
_atom_site_fract_y
_atom_site_fract_z
Ti1 Ti 0.145 0.148 0.359
Ti2 Ti 0.353 0.652 0.315
P1 P 0.500 0.000 0.500
Rh1 Rh 0.000 0.000 0.000

(22)
# TiP2Rh PBE relaxed
# Total magnetization (μB per formula unit): 0.0
# Crystal system: tetragonal
# Formation energy (eV/atom): -0.394
data_TiP2Rh
_chemical_formula_sum 'Ti4 P8 Rh4'
_symmetry_space_group_name_H-M 'I -4 2 d'
_symmetry_Int_Tables_number 122
_symmetry_space_group_name_Hall 'I -4 2bw'
_cell_length_a 5.314
_cell_length_b 5.314
_cell_length_c 11.152
_cell_angle_alpha 90.00
_cell_angle_beta 90.00
_cell_angle_gamma 90.00
loop_
_atom_site_label
_atom_site_type_symbol
_atom_site_fract_x
_atom_site_fract_y
_atom_site_fract_z
Ti1 Ti 0.000 0.000 0.000
P1 P 0.228 0.250 0.625
Rh1 Rh 0.000 0.000 0.500